Density functional theory data (PBE-GGA) for a relaxed structure of Cd2AgMo.

abc: 9.9995 9.9995 9.9995
angles: 16.93 16.93 16.93
Closest atoms and distances in Å follow each position.
Positions (direct):
Ag1 0.7500 0.7500 0.7500  6 Ag 2.94, 6 Cd 3.00
Cd1 0.5004 0.5004 0.5004  6 Cd 2.94, 3 Mo 2.98, 3 Ag 3.00
Cd2 0.9996 0.9996 0.9996  6 Cd 2.94, 3 Mo 2.98, 3 Ag 3.00
Mo1 0.2500 0.2500 0.2500  6 Mo 2.94, 6 Cd 2.98

Output
DOS at the Fermi energy	3.4	states/eV/cell
energy relative to the lowest polymorph listed for this composition	54	meV/atom
total magnetization	0.13	μB per cell